A plane-wave DFT calculation with PBE was carried out for CeDy3Sb3 after structural relaxation. Values from VASP.

Output
formation energy without anion corrections = -0.782 eV/atom
E_tot = -0.3946 Ry/atom
symmetry = No. 176
DOS(E_F) = 9.19 states/eV/f.u.

Quantum ESPRESSO input file:
```
&SYSTEM
  ibrav = 0, nat = 14, ntyp = 3
/
ATOMIC_SPECIES
Sb 121.76 Sb.upf
Dy 162.50 Dy.upf
Ce 140.12 Ce.upf
ATOMIC_POSITIONS angstrom
Sb 1.4306 -2.3419 4.9898
Sb 4.2919 3.5844 0.4668
Sb 4.2919 6.8803 2.8708
Sb 4.2919 3.1504 4.5231
Sb 1.4306 1.3880 3.3376
Sb 1.4306 0.9539 7.3939
Dy 1.4306 2.2120 0.1196
Dy 4.2919 1.0025 1.9755
Dy 4.2919 -3.3288 6.0048
Dy 1.4306 3.5359 5.8852
Dy 4.2919 2.3263 7.7411
Dy 1.4306 7.8671 1.8559
Ce 4.2919 0.0000 5.2404
Ce 1.4306 4.5384 2.6202
CELL_PARAMETERS angstrom
5.7225 0.0000 0.0000
0.0000 9.0767 0.0000
0.0000 -4.5384 7.8607
```